VASP calculation (PBE) on a geometry-optimized KTeW2 structure.

Electronic total energy in Ry per atom: -0.4552

Cell: 4.8202 4.8202 6.8344 Å, 90.00 90.00 90.00°
With the nearest neighbours (Å) after each atom.
Space group I-4m2 (No. 119)
One atom of each set of equivalent atoms:
K (0.0000, 0.0000, 0.0000) x2  4 W 2.95, 4 Te 2.95
Te (0.0000, 0.5000, 0.7500) x2  4 W 2.95, 4 K 2.95
W (0.0000, 0.0000, 0.5000) x2  4 W 2.95, 4 Te 2.95
W (0.0000, 0.5000, 0.2500) x2  4 W 2.95, 4 K 2.95

VASP calculation (PBE) on a geometry-optimized KTeW2 structure.

Electronic total energy in Ry per atom: -0.4333

Cell: 5.7265 10.8564 2.8095 Å, 90.00 90.00 90.00°
With the nearest neighbours (Å) after each atom.
Space group Cmmm (No. 65)
One atom of each set of equivalent atoms:
K (0.0000, 0.0000, 0.0000) x2  2 K 2.81, 2 Te 2.86
Te (0.0000, 0.5000, 0.0000) x2  2 Te 2.81, 2 K 2.86
W (0.2500, 0.2500, 0.5000) x4  4 W 2.81-2.86

VASP calculation (PBE) on a geometry-optimized KTeW structure.

Electronic total energy in Ry per atom: -0.3708
Excess energy over the best structure of this formula in the dataset in meV per atom: 0

Cell: 3.4205 3.4205 13.7472 Å, 90.00 90.00 90.00°
With the nearest neighbours (Å) after each atom.
Space group I4mm (No. 107)
One atom of each set of equivalent atoms:
K (0.0000, 0.0000, 0.0000) x2  4 K 3.42, 4 Te 3.69, 4 W 3.70
Te (0.0000, 0.0000, 0.7024) x2  4 W 2.74
W (0.0000, 0.0000, 0.2966) x2  4 Te 2.74

VASP calculation (PBE) on a geometry-optimized KTeW3 structure.

Electronic total energy in Ry per atom: -0.3614
Excess energy over the best structure of this formula in the dataset in meV per atom: 1147

Cell: 4.6729 4.6729 4.6729 Å, 90.00 90.00 90.00°
With the nearest neighbours (Å) after each atom.
Space group Pm-3m (No. 221)
One atom of each set of equivalent atoms:
K (0.0000, 0.0000, 0.0000) x1  6 W 2.34
Te (0.5000, 0.5000, 0.5000) x1  12 W 3.30
W (0.0000, 0.0000, 0.5000) x3  2 K 2.34

VASP calculation (PBE) on a geometry-optimized K2TeW structure.

Electronic total energy in Ry per atom: -0.2937

Cell: 3.5639 3.5639 10.6074 Å, 90.00 90.00 90.00°
With the nearest neighbours (Å) after each atom.
Space group P4mm (No. 99)
One atom of each set of equivalent atoms:
K (0.0000, 0.0000, 0.0000) x1  4 K 3.56, 4 W 3.62, 1 Te 3.73
K (0.5000, 0.5000, 0.4019) x1  4 K 3.56, 4 Te 3.63, 1 W 3.74
Te (0.0000, 0.0000, 0.6485) x1  4 W 2.76
W (0.5000, 0.5000, 0.7546) x1  4 Te 2.76

VASP calculation (PBE) on a geometry-optimized KTeW2 structure.

Electronic total energy in Ry per atom: -0.4632

Cell: 2.8344 5.4606 6.1850 Å, 90.00 90.49 90.00°
With the nearest neighbours (Å) after each atom.
Space group P2/m (No. 10)
One atom of each set of equivalent atoms:
K (0.0000, 0.0000, 0.0000) x1  2 K 2.83
Te (0.5000, 0.0000, 0.5000) x1  2 Te 2.83, 4 W 2.98
W (0.3818, 0.5000, 0.3150) x2  1 W 2.38

VASP calculation (PBE) on a geometry-optimized K2TeW structure.

Electronic total energy in Ry per atom: -0.2724

Cell: 4.1074 4.5717 11.5945 Å, 90.00 90.00 90.00°
With the nearest neighbours (Å) after each atom.
Space group Cmmm (No. 65)
One atom of each set of equivalent atoms:
K (0.0000, 0.0000, 0.2494) x4  4 K 3.07
Te (0.0000, 0.5000, 0.5000) x2  4 Te 3.07
W (0.0000, 0.5000, 0.0000) x2  4 W 3.07

VASP calculation (PBE) on a geometry-optimized KTe3W structure.

Electronic total energy in Ry per atom: -0.2001
Excess energy over the best structure of this formula in the dataset in meV per atom: 1897

Cell: 5.8699 5.8699 5.8699 Å, 90.00 90.00 90.00°
With the nearest neighbours (Å) after each atom.
Space group Pm-3m (No. 221)
One atom of each set of equivalent atoms:
K (0.0000, 0.0000, 0.0000) x1  6 Te 2.93
Te (0.0000, 0.0000, 0.5000) x3  2 K 2.93
W (0.5000, 0.5000, 0.5000) x1  12 Te 4.15

VASP calculation (PBE) on a geometry-optimized KTeW structure.

Electronic total energy in Ry per atom: -0.3662
Excess energy over the best structure of this formula in the dataset in meV per atom: 63

Cell: 3.4226 3.4226 7.8312 Å, 90.00 90.00 120.00°
With the nearest neighbours (Å) after each atom.
Space group P3m1 (No. 156)
One atom of each set of equivalent atoms:
K (0.0000, 0.0000, 0.0000) x1  6 K 3.42, 3 W 3.53, 3 Te 3.65
Te (0.3333, 0.6667, 0.3926) x1  3 W 2.69
W (0.6667, 0.3333, 0.6258) x1  3 Te 2.69

VASP calculation (PBE) on a geometry-optimized K2TeW structure.

Electronic total energy in Ry per atom: -0.2628

Cell: 8.0813 8.0813 8.0813 Å, 90.00 90.00 90.00°
With the nearest neighbours (Å) after each atom.
Space group F-43m (No. 216)
One atom of each set of equivalent atoms:
K (0.0000, 0.0000, 0.0000) x4  4 W 3.50, 4 K 3.50
K (0.2500, 0.2500, 0.2500) x4  4 Te 3.50, 4 K 3.50
Te (0.0000, 0.0000, 0.5000) x4  4 W 3.50, 4 K 3.50
W (0.2500, 0.2500, 0.7500) x4  4 K 3.50, 4 Te 3.50

VASP calculation (PBE) on a geometry-optimized KTeW2 structure.

Electronic total energy in Ry per atom: -0.4564

Cell: 3.2563 4.2700 7.4740 Å, 90.00 90.00 90.00°
With the nearest neighbours (Å) after each atom.
Space group Pmmm (No. 47)
One atom of each set of equivalent atoms:
K (0.0000, 0.0000, 0.0000) x1  2 K 3.26
Te (0.0000, 0.0000, 0.5000) x1  8 W 2.92, 2 Te 3.26
W (0.5000, 0.5000, 0.3465) x2  1 W 2.29

VASP calculation (PBE) on a geometry-optimized K2TeW structure.

Electronic total energy in Ry per atom: -0.2682

Cell: 4.6971 4.6971 10.9085 Å, 90.00 90.00 90.00°
With the nearest neighbours (Å) after each atom.
Space group I4/mmm (No. 139)
One atom of each set of equivalent atoms:
K (0.0000, 0.5000, 0.2500) x4  4 K 3.32, 4 W 3.60, 4 Te 3.60
Te (0.0000, 0.0000, 0.0000) x2  4 W 3.32, 8 K 3.60
W (0.0000, 0.0000, 0.5000) x2  4 Te 3.32, 8 K 3.60

Which of these has the highest electronic total energy? KTe3W

Among the records above, which one has the highest electronic total energy? KTe3W

Number 10 is which compound? K2TeW